Entry 1:
A relaxed ZrHgBr crystal. Source: the Alexandria database, functional GGA-PBE.

a b c (Å): 4.795 4.795 3.519
angles (deg): 90.00 90.00 120.00
Fractional positions:
1 Zr 0.000 0.000 0.000
2 Hg 0.667 0.333 0.500
3 Br 0.333 0.667 0.000

Values from the calculation:
Energy relative to the elements, uncorrected (eV per atom): -0.14

---

Entry 2:
A relaxed Ce3B2AsIr9 crystal. Source: the Alexandria database, functional GGA-PBE.

a b c (Å): 5.786 5.786 8.770
angles (deg): 90.00 90.00 120.00
Fractional positions:
1 Ce 0.000 0.000 0.000
2 Ce 0.333 0.667 0.622
3 Ce 0.667 0.333 0.378
4 B 0.333 0.667 0.149
5 B 0.667 0.333 0.851
6 As 0.000 0.000 0.500
7 Ir 0.000 0.500 0.000
8 Ir 0.162 0.325 0.283
9 Ir 0.162 0.838 0.283
10 Ir 0.325 0.162 0.717
11 Ir 0.500 0.000 0.000
12 Ir 0.500 0.500 0.000
13 Ir 0.675 0.838 0.283
14 Ir 0.838 0.162 0.717
15 Ir 0.838 0.675 0.717

Values from the calculation:
Energy relative to the elements (eV/atom): -0.505

---

Entry 3:
A relaxed SrMgBe2Te crystal. Source: the Alexandria database, functional GGA-PBE.

a b c (Å): 4.774 4.774 6.481
angles (deg): 90.00 90.00 90.00
Fractional positions:
1 Sr 0.000 0.000 0.000
2 Mg 0.000 0.000 0.500
3 Be 0.000 0.500 0.500
4 Be 0.500 0.000 0.500
5 Te 0.500 0.500 0.000

Values from the calculation:
Energy relative to the elements, uncorrected (eV per atom): 0.62

---

Entry 4:
A relaxed Ho2Ga5Ir4 crystal. Source: the Alexandria database, functional GGA-PBE.

a b c (Å): 9.223 8.282 5.531
angles (deg): 81.14 62.53 36.34
Fractional positions:
1 Ho 0.160 0.160 0.840
2 Ho 0.840 0.840 0.160
3 Ga 0.000 0.000 0.500
4 Ga 0.250 0.250 0.250
5 Ga 0.500 0.500 0.000
6 Ga 0.500 0.500 0.500
7 Ga 0.750 0.750 0.750
8 Ir 0.221 0.523 0.477
9 Ir 0.477 0.779 0.221
10 Ir 0.523 0.221 0.779
11 Ir 0.779 0.477 0.523

Values from the calculation:
Energy relative to the elements (eV/atom): -0.585

---

Entry 5:
A relaxed Nd4Ir2Pb crystal. Source: the Alexandria database, functional GGA-PBE.

a b c (Å): 10.793 10.793 10.793
angles (deg): 25.36 25.36 25.36
Fractional positions:
1 Nd 0.111 0.111 0.111
2 Nd 0.299 0.299 0.299
3 Nd 0.701 0.701 0.701
4 Nd 0.889 0.889 0.889
5 Ir 0.399 0.399 0.399
6 Ir 0.601 0.601 0.601
7 Pb 0.500 0.500 0.500

Values from the calculation:
Energy relative to the elements (eV/atom): -0.528

---

Entry 6:
A relaxed Pm2YSn3Rh4 crystal. Source: the Alexandria database, functional GGA-PBE.

a b c (Å): 4.396 4.396 11.520
angles (deg): 90.00 90.00 90.00
Fractional positions:
1 Pm 0.000 0.500 0.231
2 Pm 0.500 0.000 0.769
3 Y 0.000 0.000 0.500
4 Sn 0.000 0.500 0.874
5 Sn 0.500 0.000 0.126
6 Sn 0.500 0.500 0.500
7 Rh 0.000 0.000 0.000
8 Rh 0.000 0.500 0.648
9 Rh 0.500 0.000 0.352
10 Rh 0.500 0.500 0.000

Values from the calculation:
Energy relative to the elements (eV/atom): -0.738

---

Entry 7:
A relaxed Ce2Ta2Ge2C crystal. Source: the Alexandria database, functional GGA-PBE.

a b c (Å): 8.323 8.323 8.323
angles (deg): 150.14 150.14 42.74
Fractional positions:
1 Ce 0.166 0.166 0.000
2 Ce 0.834 0.834 0.000
3 Ta 0.000 0.500 0.500
4 Ta 0.500 0.000 0.500
5 Ge 0.378 0.378 0.000
6 Ge 0.622 0.622 0.000
7 C 0.000 0.000 0.000

Values from the calculation:
Energy relative to the elements (eV/atom): -0.577

---

Entry 8:
A relaxed In3GaCo crystal. Source: the Alexandria database, functional GGA-PBE.

a b c (Å): 5.272 5.272 5.272
angles (deg): 90.00 90.00 90.00
Fractional positions:
1 In 0.000 0.000 0.500
2 In 0.000 0.500 0.000
3 In 0.500 0.000 0.000
4 Ga 0.000 0.000 0.000
5 Co 0.500 0.500 0.500

Values from the calculation:
Energy relative to the elements (eV/atom): 0.903

---

Entry 9:
A relaxed SrYSb crystal. Source: the Alexandria database, functional GGA-PBE.

a b c (Å): 7.164 7.164 7.164
angles (deg): 147.43 147.43 46.72
Fractional positions:
1 Sr 0.000 0.000 0.000
2 Y 0.729 0.729 0.000
3 Sb 0.330 0.330 0.000

Values from the calculation:
Energy relative to the elements, uncorrected (eV per atom): -0.59

---

Entry 10:
A relaxed Dy3Pt crystal. Source: the Alexandria database, functional GGA-PBE.

a b c (Å): 11.612 11.612 6.365
angles (deg): 90.00 90.00 90.00
Fractional positions:
1 Dy 0.038 0.905 0.208
2 Dy 0.095 0.538 0.708
3 Dy 0.115 0.307 0.024
4 Dy 0.117 0.838 0.703
5 Dy 0.162 0.617 0.203
6 Dy 0.193 0.115 0.476
7 Dy 0.307 0.385 0.476
8 Dy 0.338 0.883 0.203
9 Dy 0.383 0.662 0.703
10 Dy 0.385 0.193 0.024
11 Dy 0.405 0.962 0.708
12 Dy 0.462 0.595 0.208
13 Dy 0.538 0.405 0.792
14 Dy 0.595 0.038 0.292
15 Dy 0.615 0.807 0.976
16 Dy 0.617 0.338 0.297
17 Dy 0.662 0.117 0.797
18 Dy 0.693 0.615 0.524
19 Dy 0.807 0.885 0.524
20 Dy 0.838 0.383 0.797
21 Dy 0.883 0.162 0.297
22 Dy 0.885 0.693 0.976
23 Dy 0.905 0.462 0.292
24 Dy 0.962 0.095 0.792
25 Pt 0.056 0.317 0.516
26 Pt 0.183 0.056 0.984
27 Pt 0.317 0.444 0.984
28 Pt 0.444 0.183 0.516
29 Pt 0.556 0.817 0.484
30 Pt 0.683 0.556 0.016
31 Pt 0.817 0.944 0.016
32 Pt 0.944 0.683 0.484

Values from the calculation:
Energy relative to the elements (eV/atom): -0.663

---

Entry 11:
A relaxed InCo4Sn crystal. Source: the Alexandria database, functional GGA-PBE.

a b c (Å): 4.960 4.960 4.960
angles (deg): 60.00 60.00 60.00
Fractional positions:
1 In 0.000 0.000 0.000
2 Co 0.125 0.625 0.625
3 Co 0.625 0.125 0.625
4 Co 0.625 0.625 0.125
5 Co 0.625 0.625 0.625
6 Sn 0.250 0.250 0.250

Values from the calculation:
Energy relative to the elements (eV/atom): 0.172

---

Entry 12:
A relaxed Rb2LaTc crystal. Source: the Alexandria database, functional GGA-PBE.

a b c (Å): 14.341 14.341 14.341
angles (deg): 161.77 161.77 25.90
Fractional positions:
1 Rb 0.118 0.625 0.993
2 Rb 0.375 0.368 0.493
3 Rb 0.632 0.125 0.007
4 Rb 0.875 0.882 0.507
5 La 0.250 0.750 0.500
6 La 0.500 0.500 0.000
7 Tc 0.000 0.000 0.000
8 Tc 0.750 0.250 0.500

Values from the calculation:
Energy relative to the elements (eV/atom): 1.169

---

Entry 13:
A relaxed CsAg2ICl2 crystal. Source: the Alexandria database, functional GGA-PBE.

a b c (Å): 7.802 5.984 9.602
angles (deg): 90.00 109.37 90.00
Fractional positions:
1 Cs 0.175 0.250 0.385
2 Cs 0.825 0.750 0.615
3 Ag 0.383 0.000 0.845
4 Ag 0.383 0.500 0.845
5 Ag 0.617 0.000 0.155
6 Ag 0.617 0.500 0.155
7 I 0.278 0.750 0.067
8 I 0.722 0.250 0.933
9 Cl 0.093 0.250 0.721
10 Cl 0.377 0.750 0.617
11 Cl 0.623 0.250 0.383
12 Cl 0.907 0.750 0.279

Values from the calculation:
Energy relative to the elements, uncorrected (eV per atom): -0.90

---

Entry 14:
A relaxed CaRhBr2 crystal. Source: the Alexandria database, functional GGA-PBE.

a b c (Å): 7.948 7.948 7.948
angles (deg): 153.84 151.56 39.02
Fractional positions:
1 Ca 0.000 0.000 0.000
2 Rh 0.153 0.653 0.500
3 Br 0.406 0.406 0.000
4 Br 0.656 0.156 0.500

Values from the calculation:
Energy relative to the elements, uncorrected (eV per atom): -0.79

---

Entry 15:
A relaxed NaSn2SbH crystal. Source: the Alexandria database, functional GGA-PBE.

a b c (Å): 4.968 4.968 4.502
angles (deg): 90.00 90.00 90.00
Fractional positions:
1 Na 0.000 0.000 0.000
2 Sn 0.000 0.500 0.500
3 Sn 0.500 0.000 0.500
4 Sb 0.500 0.500 0.000
5 H 0.000 0.000 0.500

Values from the calculation:
Raw total energy (eV per cell): -16.49

---

Entry 16:
A relaxed SrTeI2F crystal. Source: the Alexandria database, functional GGA-PBE.

a b c (Å): 6.003 6.003 4.408
angles (deg): 90.00 90.00 90.00
Fractional positions:
1 Sr 0.000 0.000 0.000
2 Te 0.500 0.500 0.000
3 I 0.000 0.500 0.500
4 I 0.500 0.000 0.500
5 F 0.500 0.500 0.500

Values from the calculation:
Energy relative to the elements, uncorrected (eV per atom): -0.97

---

Entry 17:
A relaxed KBrO2 crystal. Source: the Alexandria database, functional GGA-PBE.

a b c (Å): 7.137 7.137 7.137
angles (deg): 137.26 137.26 62.04
Fractional positions:
1 K 0.000 0.000 0.000
2 K 0.750 0.250 0.500
3 Br 0.250 0.750 0.500
4 Br 0.500 0.500 0.000
5 O 0.246 0.625 0.121
6 O 0.375 0.496 0.621
7 O 0.504 0.125 0.879
8 O 0.875 0.754 0.379

Values from the calculation:
Energy relative to the elements, uncorrected (eV per atom): -0.20

---

Entry 18:
A relaxed SrTeN crystal. Source: the Alexandria database, functional GGA-PBE.

a b c (Å): 6.334 6.334 6.334
angles (deg): 145.65 145.65 49.37
Fractional positions:
1 Sr 0.000 0.000 0.000
2 Te 0.306 0.306 0.000
3 N 0.483 0.483 0.000

Values from the calculation:
Energy relative to the elements, uncorrected (eV per atom): -0.34